A plane-wave DFT calculation with GGA-PBEsol was carried out for crystalline KSBr2 at its relaxed geometry.

a b c (Å): 7.8768 7.8768 7.8768
angles (deg): 39.45 39.45 39.45
With the nearest neighbours (Å) after each atom.
Element x y z (fractional)
1 K 0.0000 0.0000 0.0000  6 Br 3.30
2 S 0.5000 0.5000 0.5000  2 Br 2.42
3 Br 0.3889 0.3889 0.3889  1 S 2.42
4 Br 0.6111 0.6111 0.6111  1 S 2.42

Values from the calculation:
Its total magnetization is 1.00 μB/f.u. Its calculated total energy is -2.78 eV per atom. The value obtained for the density of states at the Fermi level is 5.568 states/eV per cell.

---

A plane-wave DFT calculation with GGA-PBEsol was carried out for crystalline InAg2 at its relaxed geometry.

a b c (Å): 5.6134 5.6134 6.9653
angles (deg): 106.88 106.88 31.78
With the nearest neighbours (Å) after each atom.
Element x y z (fractional)
1 In 0.1817 0.1817 0.1451  8 Ag 2.85-2.95, 2 In 3.07
2 In 0.8183 0.8183 0.8549  8 Ag 2.85-2.95, 2 In 3.07
3 Ag 0.1385 0.1385 0.5288  3 In 2.85-2.94, 9 Ag 2.87-3.07
4 Ag 0.4638 0.4638 0.2054  7 Ag 2.87-3.19, 5 In 2.91-2.95
5 Ag 0.5362 0.5362 0.7946  7 Ag 2.87-3.19, 5 In 2.91-2.95
6 Ag 0.8615 0.8615 0.4712  3 In 2.85-2.94, 9 Ag 2.87-3.07

Values from the calculation:
Its total magnetization is 0.00 μB/f.u. As for the formation energy from the elements: -0.0351 eV per atom. The value obtained for the density of states at the Fermi level is 1.805 states/eV per cell.

---

A plane-wave DFT calculation with GGA-PBEsol was carried out for crystalline MnCu2As at its relaxed geometry.

a b c (Å): 3.6010 3.6010 3.9215
angles (deg): 90.00 90.00 90.00
With the nearest neighbours (Å) after each atom.
Element x y z (fractional)
1 Mn 0.0000 0.0000 0.0000  4 As 2.55, 8 Cu 2.66
2 Cu 0.0000 0.5000 0.5000  4 Cu 2.55, 4 As 2.66, 4 Mn 2.66
3 Cu 0.5000 0.0000 0.5000  4 Cu 2.55, 4 As 2.66, 4 Mn 2.66
4 As 0.5000 0.5000 0.0000  4 Mn 2.55, 8 Cu 2.66

Values from the calculation:
Its total magnetization is 3.32 μB/f.u. As for the formation energy from the elements: 0.0414 eV per atom. The value obtained for the density of states at the Fermi level is 1.610 states/eV per cell.

---

A plane-wave DFT calculation with GGA-PBEsol was carried out for crystalline SrTeSe2 at its relaxed geometry.

a b c (Å): 4.1620 4.9423 5.7960
angles (deg): 90.00 106.09 90.00
With the nearest neighbours (Å) after each atom.
Element x y z (fractional)
1 Sr 0.0000 0.0000 0.0000  7 Se 3.13-3.30
2 Te 0.4459 0.5000 0.4330  4 Se 2.68-2.97
3 Se 0.4689 0.5000 0.9257  2 Te 2.83-2.97
4 Se 0.6978 0.0000 0.4422  2 Te 2.68

Values from the calculation:
Its total magnetization is 0.00 μB/f.u. Its calculated total energy is -4.24 eV per atom. The value obtained for the density of states at the Fermi level is 0.593 states/eV per cell.

---

A plane-wave DFT calculation with GGA-PBEsol was carried out for crystalline K2YNi at its relaxed geometry.

a b c (Å): 3.9064 3.6683 10.5876
angles (deg): 90.00 100.54 90.00
With the nearest neighbours (Å) after each atom.
Element x y z (fractional)
1 K 0.0000 0.0000 0.0000  2 Ni 3.53, 4 K 3.67-3.91, 2 Y 3.81
2 K 0.3015 0.5000 0.6128  1 Ni 3.37, 2 K 3.67
3 Y 0.6560 0.0000 0.3139  4 Ni 2.69
4 Ni 0.1443 0.5000 0.2894  4 Y 2.69

Values from the calculation:
The energy above the lowest structure with this stoichiometry comes out at 0.00 eV per formula unit. Its total magnetization is 0.00 μB/f.u. As for the formation energy from the elements: 0.1940 eV per atom. The value obtained for the density of states at the Fermi level is 3.047 states/eV per cell.

---

A plane-wave DFT calculation with GGA-PBEsol was carried out for crystalline NaLa2ZrN at its relaxed geometry.

a b c (Å): 5.0240 5.0240 4.8045
angles (deg): 90.00 90.00 90.00
With the nearest neighbours (Å) after each atom.
Element x y z (fractional)
1 Na 0.0000 0.0000 0.0000  2 N 2.40
2 La 0.0000 0.5000 0.5000  2 N 2.51
3 La 0.5000 0.0000 0.5000  2 N 2.51
4 Zr 0.5000 0.5000 0.0000  8 La 3.48, 4 Na 3.55
5 N 0.0000 0.0000 0.5000  2 Na 2.40, 4 La 2.51

Values from the calculation:
Its total magnetization is 0.88 μB/f.u. Its calculated total energy is -5.93 eV per atom. The value obtained for the density of states at the Fermi level is 6.886 states/eV per cell.